# 1
Below is a relaxed PmSmAu2 crystal, with properties calculated at the PBE-GGA level.

**Energy relative to the elements**: -0.787 eV/atom
**SG**: Fm-3m, No. 225
**ΔE to the lowest computed polymorph**: 0.16 eV per formula unit
**Final energy**: -19.2 eV per cell
**Spin magnetization**: 0.0 Bohr magnetons per cell

```
PmSmAu2
1.0
5.212 0.000 0.000
2.606 4.513 0.000
2.606 1.504 4.255
Au Pm Sm
2 1 1
direct
0.250 0.250 0.250
0.750 0.750 0.750
0.000 0.000 0.000
0.500 0.500 0.500
```


# 2
Below is a relaxed PmSm2Au crystal, with properties calculated at the PBE-GGA level.

**Energy relative to the elements**: -0.226 eV/atom
**SG**: P4/mmm, No. 123
**ΔE to the lowest computed polymorph**: 0.71 eV per formula unit
**Final energy**: -18.4 eV per cell
**Spin magnetization**: 0.0 Bohr magnetons per cell

```
PmSm2Au
1.0
3.688 0.000 0.000
0.000 5.505 0.000
0.000 0.000 5.505
Sm Pm Au
2 1 1
direct
0.000 0.500 0.000
0.000 0.000 0.500
0.500 0.500 0.500
0.500 0.000 0.000
```


# 3
Below is a relaxed Pm3Sm2Au2 crystal, with properties calculated at the PBE-GGA level.

**Energy relative to the elements**: -0.462 eV/atom
**SG**: C2/m, No. 12
**Final energy**: -33.5 eV per cell
**Spin magnetization**: 0.0 Bohr magnetons per cell

```
Pm3Sm2Au2
1.0
-0.099 -3.426 -1.740
3.706 -0.762 5.535
-9.225 -0.483 1.476
Pm Au Sm
3 2 2
direct
0.387 0.774 0.555
0.613 0.226 0.445
0.500 0.000 0.000
0.169 0.337 0.228
0.831 0.663 0.772
0.846 0.693 0.187
0.154 0.307 0.813
```


# 4
Below is a relaxed Pm2SmAu6 crystal, with properties calculated at the PBE-GGA level.

**Energy relative to the elements**: -0.713 eV/atom
**SG**: Immm, No. 71
**Final energy**: -40.3 eV per cell
**Spin magnetization**: 0.0 Bohr magnetons per cell

```
Pm2SmAu6
1.0
3.705 0.000 0.000
1.853 8.275 1.338
1.853 3.658 7.542
Au Pm Sm
6 2 1
direct
0.824 0.491 0.861
0.000 0.186 0.814
0.000 0.814 0.186
0.176 0.509 0.139
0.176 0.139 0.509
0.824 0.861 0.491
0.359 0.141 0.141
0.641 0.859 0.859
0.500 0.500 0.500
```


# 5
Below is a relaxed Pm3Sm4Au4 crystal, with properties calculated at the PBE-GGA level.

**Energy relative to the elements**: -0.523 eV/atom
**SG**: Immm, No. 71
**Final energy**: -52.0 eV per cell
**Spin magnetization**: 0.0 Bohr magnetons per cell

```
Pm3Sm4Au4
1.0
-0.471 4.854 -0.915
-5.146 0.586 5.754
8.794 -1.160 2.775
Sm Pm Au
4 3 4
direct
0.672 0.891 0.345
0.672 0.454 0.345
0.328 0.109 0.655
0.328 0.546 0.655
0.100 0.100 0.201
0.900 0.900 0.799
0.000 0.500 0.000
0.201 0.701 0.402
0.799 0.299 0.598
0.500 0.812 0.000
0.500 0.188 0.000
```


# 6
Below is a relaxed Pm2SmAu crystal, with properties calculated at the PBE-GGA level.

**Energy relative to the elements**: -0.230 eV/atom
**SG**: P4/mmm, No. 123
**ΔE to the lowest computed polymorph**: 0.68 eV per formula unit
**Final energy**: -18.4 eV per cell
**Spin magnetization**: 0.0 Bohr magnetons per cell

```
Pm2SmAu
1.0
3.701 0.000 0.000
0.000 5.524 0.000
0.000 0.000 5.524
Sm Pm Au
1 2 1
direct
0.500 0.500 0.500
0.000 0.500 0.000
0.000 0.000 0.500
0.500 0.000 0.000
```


# 7
Below is a relaxed PmSm2Au crystal, with properties calculated at the PBE-GGA level.

**Energy relative to the elements**: -0.404 eV/atom
**SG**: Pnma, No. 62
**ΔE to the lowest computed polymorph**: 0.00 eV per formula unit
**Final energy**: -76.3 eV per cell
**Spin magnetization**: 0.0 Bohr magnetons per cell

```
PmSm2Au
1.0
6.745 0.000 0.000
0.000 7.112 0.000
0.000 0.000 10.150
Pm Sm Au
4 8 4
direct
0.630 0.509 0.250
0.130 0.991 0.750
0.870 0.009 0.250
0.370 0.491 0.750
0.680 0.809 0.553
0.180 0.691 0.053
0.180 0.691 0.447
0.820 0.309 0.947
0.680 0.809 0.947
0.320 0.191 0.447
0.320 0.191 0.053
0.820 0.309 0.553
0.562 0.104 0.750
0.938 0.604 0.750
0.062 0.396 0.250
0.438 0.896 0.250
```


# 8
Below is a relaxed Pm2SmAu crystal, with properties calculated at the PBE-GGA level.

**Energy relative to the elements**: -0.401 eV/atom
**SG**: Pnma, No. 62
**ΔE to the lowest computed polymorph**: 0.00 eV per formula unit
**Final energy**: -76.4 eV per cell
**Spin magnetization**: 0.0 Bohr magnetons per cell

```
Pm2SmAu
1.0
6.750 0.000 0.000
0.000 7.140 0.000
0.000 0.000 10.170
Au Pm Sm
4 8 4
direct
0.441 0.898 0.250
0.941 0.602 0.750
0.559 0.102 0.750
0.059 0.398 0.250
0.820 0.307 0.554
0.320 0.193 0.446
0.180 0.693 0.446
0.680 0.807 0.554
0.320 0.193 0.054
0.820 0.307 0.946
0.680 0.807 0.946
0.180 0.693 0.054
0.370 0.488 0.750
0.630 0.512 0.250
0.870 0.012 0.250
0.130 0.988 0.750
```


# 9
Below is a relaxed PmSmAu4 crystal, with properties calculated at the PBE-GGA level.

**Energy relative to the elements**: -0.802 eV/atom
**SG**: P4/mmm, No. 123
**Final energy**: -27.4 eV per cell
**Spin magnetization**: 0.0 Bohr magnetons per cell

```
PmSmAu4
1.0
3.795 -0.487 -0.194
0.477 3.796 -0.195
0.520 0.403 9.196
Au Sm Pm
4 1 1
direct
0.500 0.500 0.165
0.500 0.500 0.835
0.000 0.000 0.666
0.000 0.000 0.334
0.000 0.000 0.000
0.500 0.500 0.500
```


# 10
Below is a relaxed Pm2SmAu4 crystal, with properties calculated at the PBE-GGA level.

**Energy relative to the elements**: -0.255 eV/atom
**SG**: I4/mmm, No. 139
**ΔE to the lowest computed polymorph**: 2.85 eV per formula unit
**Final energy**: -29.1 eV per cell
**Spin magnetization**: 0.0 Bohr magnetons per cell

```
Pm2SmAu4
1.0
-0.365 0.632 5.354
4.113 -3.437 0.686
2.989 7.152 -3.367
Au Pm Sm
4 2 1
direct
0.810 0.810 0.621
0.000 0.500 0.000
0.500 0.000 0.000
0.190 0.190 0.379
0.382 0.382 0.764
0.618 0.618 0.236
0.000 0.000 0.000
```


# 11
Below is a relaxed PmSm2Au crystal, with properties calculated at the PBE-GGA level.

**Energy relative to the elements**: -0.255 eV/atom
**SG**: R3m, No. 160
**ΔE to the lowest computed polymorph**: 0.60 eV per formula unit
**Final energy**: -18.5 eV per cell
**Spin magnetization**: 0.0 Bohr magnetons per cell

```
PmSm2Au
1.0
-1.778 -2.074 -2.660
2.033 -1.981 -2.547
0.096 -9.267 4.429
Pm Sm Au
1 2 1
direct
0.500 0.500 0.500
0.264 0.264 0.207
0.069 0.069 0.792
0.666 0.666 0.001
```


# 12
Below is a relaxed PmSm2Au crystal, with properties calculated at the PBE-GGA level.

**Energy relative to the elements**: -0.257 eV/atom
**SG**: R-3m, No. 166
**ΔE to the lowest computed polymorph**: 0.59 eV per formula unit
**Final energy**: -18.5 eV per cell
**Spin magnetization**: 0.0 Bohr magnetons per cell

```
PmSm2Au
1.0
3.736 0.000 0.000
1.868 3.236 0.000
1.868 1.079 10.281
Au Sm Pm
1 2 1
direct
0.000 0.000 0.000
0.263 0.263 0.211
0.737 0.737 0.789
0.500 0.500 0.500
```


# 13
Below is a relaxed PmSm4Au5 crystal, with properties calculated at the PBE-GGA level.

**Energy relative to the elements**: -0.797 eV/atom
**SG**: P4/mmm, No. 123
**Final energy**: -48.0 eV per cell
**Spin magnetization**: 0.0 Bohr magnetons per cell

```
PmSm4Au5
1.0
-1.400 1.102 -3.192
-3.166 -1.630 0.826
-5.981 15.692 8.042
Au Sm Pm
5 4 1
direct
0.500 0.500 0.500
0.500 0.500 0.102
0.500 0.500 0.898
0.500 0.500 0.300
0.500 0.500 0.700
0.000 0.000 0.799
0.000 0.000 0.400
0.000 0.000 0.600
0.000 0.000 0.201
0.000 0.000 0.000
```


# 14
Below is a relaxed PmSm2Au crystal, with properties calculated at the PBE-GGA level.

**Energy relative to the elements**: -0.370 eV/atom
**SG**: P4/mmm, No. 123
**ΔE to the lowest computed polymorph**: 0.14 eV per formula unit
**Final energy**: -18.9 eV per cell
**Spin magnetization**: 0.0 Bohr magnetons per cell

```
PmSm2Au
1.0
3.700 0.000 0.000
0.000 3.700 0.000
0.000 0.000 8.648
Sm Pm Au
2 1 1
direct
0.000 0.000 0.794
0.000 0.000 0.206
0.500 0.500 0.500
0.500 0.500 0.000
```


# 15
Below is a relaxed Pm2SmAu crystal, with properties calculated at the PBE-GGA level.

**Energy relative to the elements**: 0.141 eV/atom
**SG**: R-3m, No. 166
**ΔE to the lowest computed polymorph**: 2.17 eV per formula unit
**Final energy**: -16.9 eV per cell
**Spin magnetization**: 0.0 Bohr magnetons per cell

```
Pm2SmAu
1.0
-0.661 -3.050 1.778
-1.860 -2.634 -1.582
8.998 -6.397 -4.002
Pm Sm Au
2 1 1
direct
0.082 0.082 0.753
0.918 0.918 0.247
0.500 0.500 0.500
0.000 0.000 0.000
```


# 16
Below is a relaxed PmSm5Au4 crystal, with properties calculated at the PBE-GGA level.

**Energy relative to the elements**: -0.632 eV/atom
**SG**: P4/mmm, No. 123
**Final energy**: -47.8 eV per cell
**Spin magnetization**: 0.0 Bohr magnetons per cell

```
PmSm5Au4
1.0
3.667 0.000 0.000
0.000 3.667 0.000
0.000 0.000 19.902
Sm Pm Au
5 1 4
direct
0.500 0.500 0.500
0.500 0.500 0.131
0.500 0.500 0.314
0.500 0.500 0.686
0.500 0.500 0.869
0.000 0.000 0.000
0.000 0.000 0.220
0.000 0.000 0.780
0.000 0.000 0.593
0.000 0.000 0.407
```


# 17
Below is a relaxed Pm2SmAu8 crystal, with properties calculated at the PBE-GGA level.

**Energy relative to the elements**: -0.683 eV/atom
**SG**: C2/m, No. 12
**Final energy**: -47.9 eV per cell
**Spin magnetization**: 0.0 Bohr magnetons per cell

```
Pm2SmAu8
1.0
5.066 0.001 -1.372
-0.724 5.485 -2.560
-0.373 0.594 8.606
Au Pm Sm
8 2 1
direct
0.750 0.501 0.000
0.871 0.640 0.736
0.699 0.199 0.399
0.866 0.096 0.736
0.301 0.801 0.601
0.250 0.499 0.000
0.134 0.904 0.264
0.129 0.360 0.264
0.315 0.315 0.629
0.685 0.685 0.371
0.500 0.000 0.000
```


# 18
Below is a relaxed PmSmAu4 crystal, with properties calculated at the PBE-GGA level.

**Energy relative to the elements**: -0.800 eV/atom
**SG**: Cmmm, No. 65
**Final energy**: -27.4 eV per cell
**Spin magnetization**: 0.0 Bohr magnetons per cell

```
PmSmAu4
1.0
-5.330 1.030 0.135
-0.659 -3.897 3.709
-1.985 3.591 3.422
Au Sm Pm
4 1 1
direct
0.665 0.500 0.170
0.834 0.000 0.832
0.166 0.000 0.168
0.335 0.500 0.830
0.500 0.000 0.500
0.000 0.500 0.500
```


# 19
Below is a relaxed PmSmTcAu crystal, with properties calculated at the PBE-GGA level.

**Energy relative to the elements**: -0.236 eV/atom
**SG**: F-43m, No. 216
**Final energy**: -24.1 eV per cell
**Spin magnetization**: 0.0 Bohr magnetons per cell

```
PmSmTcAu
1.0
-4.342 -2.569 -0.522
-1.726 -2.863 3.814
-4.121 1.435 2.584
Au Tc Sm Pm
1 1 1 1
direct
0.000 0.000 0.000
0.500 0.500 0.500
0.250 0.250 0.250
0.750 0.750 0.750
```


# 20
Below is a relaxed Pm2SnAu crystal, with properties calculated at the PBE-GGA level.

**Energy relative to the elements**: -0.727 eV/atom
**SG**: P4/mmm, No. 123
**ΔE to the lowest computed polymorph**: 0.14 eV per formula unit
**Final energy**: -19.7 eV per cell
**Spin magnetization**: 0.0 Bohr magnetons per cell

```
Pm2SnAu
1.0
3.654 0.000 0.000
0.000 3.654 0.000
0.000 0.000 7.990
Pm Sn Au
2 1 1
direct
0.000 0.000 0.764
0.000 0.000 0.236
0.500 0.500 0.500
0.500 0.500 0.000
```


# 21
Below is a relaxed Pm2SnAu3 crystal, with properties calculated at the PBE-GGA level.

**Energy relative to the elements**: -0.786 eV/atom
**SG**: Pmm2, No. 25
**ΔE to the lowest computed polymorph**: 0.00 eV per formula unit
**Final energy**: -28.1 eV per cell
**Spin magnetization**: 0.0 Bohr magnetons per cell

```
Pm2SnAu3
1.0
3.628 0.000 0.000
0.000 4.709 0.000
0.000 0.000 8.426
Au Pm Sn
3 2 1
direct
0.500 0.500 0.662
0.500 0.000 0.166
0.500 0.000 0.837
0.000 0.000 0.522
0.000 0.500 0.983
0.500 0.500 0.330
```


# 22
Below is a relaxed Pm3Sn2Au8 crystal, with properties calculated at the PBE-GGA level.

**Energy relative to the elements**: -0.421 eV/atom
**SG**: R-3m, No. 166
**Final energy**: -53.9 eV per cell
**Spin magnetization**: 0.0 Bohr magnetons per cell

```
Pm3Sn2Au8
1.0
5.557 0.000 0.000
2.778 4.812 0.000
2.778 1.604 11.245
Pm Au Sn
3 8 2
direct
0.000 0.000 0.000
0.810 0.810 0.570
0.190 0.190 0.430
0.226 0.730 0.313
0.716 0.716 0.852
0.730 0.730 0.313
0.270 0.270 0.687
0.270 0.774 0.687
0.730 0.226 0.313
0.284 0.284 0.148
0.774 0.270 0.687
0.634 0.634 0.099
0.366 0.366 0.901
```


# 23
Below is a relaxed PmSnAu4 crystal, with properties calculated at the PBE-GGA level.

**Energy relative to the elements**: -0.407 eV/atom
**SG**: F-43m, No. 216
**ΔE to the lowest computed polymorph**: 0.01 eV per formula unit
**Final energy**: -24.3 eV per cell
**Spin magnetization**: 0.0 Bohr magnetons per cell

```
PmSnAu4
1.0
-2.005 -4.275 3.149
2.206 -5.201 -0.542
3.173 -2.185 4.168
Au Pm Sn
4 1 1
direct
0.625 0.625 0.125
0.625 0.625 0.625
0.625 0.125 0.625
0.125 0.625 0.625
0.250 0.250 0.250
0.000 0.000 0.000
```


# 24
Below is a relaxed Pm5Sn5Au2 crystal, with properties calculated at the PBE-GGA level.

**Energy relative to the elements**: -0.746 eV/atom
**SG**: C2/m, No. 12
**Final energy**: -59.3 eV per cell
**Spin magnetization**: 0.0 Bohr magnetons per cell

```
Pm5Sn5Au2
1.0
4.654 0.000 0.000
-2.327 8.142 -0.861
0.000 -6.163 9.342
Sn Pm Au
5 5 2
direct
0.935 0.869 0.643
0.000 0.000 0.000
0.760 0.520 0.821
0.065 0.131 0.357
0.240 0.480 0.179
0.390 0.780 0.085
0.689 0.378 0.323
0.500 0.000 0.500
0.610 0.220 0.915
0.311 0.622 0.677
0.140 0.280 0.736
0.860 0.720 0.264
```


# 25
Below is a relaxed Pm7Sn2Au2 crystal, with properties calculated at the PBE-GGA level.

**Energy relative to the elements**: -0.378 eV/atom
**SG**: Cmmm, No. 65
**Final energy**: -52.0 eV per cell
**Spin magnetization**: 0.0 Bohr magnetons per cell

```
Pm7Sn2Au2
1.0
7.105 -0.003 -0.861
0.003 7.198 0.003
-1.302 -0.002 7.037
Au Pm Sn
2 7 2
direct
0.716 0.000 0.284
0.284 0.000 0.716
0.500 0.247 0.500
0.000 0.268 0.500
0.500 0.732 0.000
0.000 0.000 0.000
0.500 0.268 0.000
0.500 0.753 0.500
0.000 0.732 0.500
0.825 0.500 0.825
0.175 0.500 0.175
```